Below is KBaMg3 after structural relaxation, with properties calculated at the PBE-GGA level.

Geometry as extended XYZ:
```
5
Lattice="-5.1529 -0.4768 3.1934 -2.9505 -1.7473 -5.0219 1.3114 -5.8050 1.2493" Properties=species:S:1:pos:R:3 pbc="T T T"
K 0.0000 0.0000 0.0000
Ba -3.3961 -4.0145 -0.2896
Mg -1.4753 -0.8736 -2.5109
Mg 0.6557 -2.9025 0.6246
Mg -2.5765 -0.2384 1.5967
```

Space group = Pm-3m, No. 221
Offset from the most stable computed form = 0 meV per atom
DOS(E_F) = 1.105 states/eV/atom
Calculated volume = 44.97 Å³ per atom

***

Below is Sm2Tm3Tl2 after structural relaxation, with properties calculated at the PBE-GGA level.

Geometry as extended XYZ:
```
7
Lattice="-2.4530 -3.5995 -2.1197 5.9037 -0.7976 0.0578 -2.7904 -2.5020 7.4778" Properties=species:S:1:pos:R:3 pbc="T T T"
Sm 1.7432 -4.4013 -0.0788
Sm -1.0829 -2.4978 5.4947
Tm -1.2265 -1.7997 -1.0599
Tm -1.1787 -3.6063 1.9525
Tm 1.8390 -3.2928 3.4634
Tl 1.2041 -1.4225 1.0222
Tl -0.5438 -5.4766 4.3937
```

Space group = C2/m, No. 12
E = -28.697 eV for the cell shown
DOS(E_F) = 1.030 states/eV/atom
Calculated volume = 29.97 Å³ per atom

***

Below is KLi2MgPt after structural relaxation, with properties calculated at the PBE-GGA level.

Geometry as extended XYZ:
```
5
Lattice="-2.9538 -4.1249 1.5930 3.2967 -1.0204 3.4707 -2.5930 3.1676 3.3942" Properties=species:S:1:pos:R:3 pbc="T T T"
Li -1.4769 -2.0625 0.7965
Li -1.2965 1.5838 1.6971
Mg 0.0000 0.0000 0.0000
Pt 1.6484 -0.5102 1.7354
K -1.1250 -0.9889 4.2290
```

Space group = P4/mmm, No. 123
Offset from the most stable computed form = 341 meV per atom
DOS(E_F) = 0.650 states/eV/atom
Calculated volume = 27.68 Å³ per atom

***

Below is NaCo3Bi after structural relaxation, with properties calculated at the PBE-GGA level.

Geometry as extended XYZ:
```
5
Lattice="4.9490 0.0000 0.0000 0.0000 4.9490 0.0000 0.0000 0.0000 4.9490" Properties=species:S:1:pos:R:3 pbc="T T T"
Co 2.4745 0.0000 0.0000
Co 0.0000 2.4745 0.0000
Co 0.0000 0.0000 2.4745
Na 2.4745 2.4745 2.4745
Bi 0.0000 0.0000 0.0000
```

Space group = Pm-3m, No. 221
Offset from the most stable computed form = 0 meV per atom
DOS(E_F) = 1.287 states/eV/atom
Calculated volume = 24.24 Å³ per atom